Th2TcBC (PBE, optimized geometry); space-group type = P2_1/m; total DFT energy (no corrections) = -0.3132 Ha/atom; spin magnetization = 0.00 μB per formula unit; E_form = -0.302 eV/atom; Fermi-level density of states = 0.550 states/eV/atom
1.0
6.381 0.000 0.000
0.000 3.742 0.000
-2.926 0.000 7.713
Th Tc B C
4 2 2 2
direct
0.214 0.250 0.405 Th
0.233 0.250 0.961 Th
0.767 0.750 0.039 Th
0.786 0.750 0.595 Th
0.353 0.750 0.706 Tc
0.647 0.250 0.294 Tc
0.442 0.750 0.245 B
0.558 0.250 0.755 B
0.182 0.750 0.172 C
0.818 0.250 0.828 C

TiTc2BC (PBE, optimized geometry); space-group type = P4/mmm; total DFT energy (no corrections) = -0.3102 Ha/atom; spin magnetization = 0.00 μB per formula unit; E_form = 0.464 eV/atom; Fermi-level density of states = 0.723 states/eV/atom
1.0
4.413 0.000 0.000
0.000 4.413 0.000
0.000 0.000 3.002
Ti Tc B C
1 2 1 1
direct
0.000 0.000 0.000 Ti
0.000 0.500 0.500 Tc
0.500 0.000 0.500 Tc
0.500 0.500 0.500 B
0.500 0.500 0.000 C

Tm2Tc2B2C (PBE, optimized geometry); space-group type = C2/m; total DFT energy (no corrections) = -0.2912 Ha/atom; spin magnetization = 0.00 μB per formula unit; E_form = -0.459 eV/atom; Fermi-level density of states = 0.273 states/eV/atom
1.0
5.301 -1.709 0.000
5.301 1.709 0.000
-4.117 0.000 5.368
Tm Tc B C
2 2 2 1
direct
0.073 0.073 0.325 Tm
0.927 0.927 0.675 Tm
0.289 0.289 0.177 Tc
0.711 0.711 0.823 Tc
0.390 0.390 0.943 B
0.610 0.610 0.057 B
0.500 0.500 0.500 C

TmTcBC (PBE, optimized geometry); space-group type = P4/nmm; total DFT energy (no corrections) = -0.2945 Ha/atom; spin magnetization = 0.00 μB per formula unit; E_form = -0.330 eV/atom; Fermi-level density of states = 0.607 states/eV/atom
1.0
3.577 0.000 0.000
0.000 3.577 0.000
0.000 0.000 8.230
Tm Tc B C
2 2 2 2
direct
0.250 0.250 0.153 Tm
0.750 0.750 0.847 Tm
0.250 0.750 0.500 Tc
0.750 0.250 0.500 Tc
0.250 0.250 0.687 B
0.750 0.750 0.313 B
0.250 0.250 0.867 C
0.750 0.750 0.133 C

UTcBC (PBE, optimized geometry); space-group type = P4/nmm; total DFT energy (no corrections) = -0.3548 Ha/atom; spin magnetization = 1.41 μB per formula unit; E_form = -0.267 eV/atom; Fermi-level density of states = 1.447 states/eV/atom
1.0
3.598 0.000 0.000
0.000 3.598 0.000
0.000 0.000 8.055
U Tc B C
2 2 2 2
direct
0.250 0.250 0.164 U
0.750 0.750 0.836 U
0.250 0.750 0.500 Tc
0.750 0.250 0.500 Tc
0.250 0.250 0.681 B
0.750 0.750 0.319 B
0.250 0.250 0.875 C
0.750 0.750 0.125 C

Tc2BWC (PBE, optimized geometry); space-group type = P4/mmm; total DFT energy (no corrections) = -0.3341 Ha/atom; spin magnetization = 0.00 μB per formula unit; E_form = 0.827 eV/atom; Fermi-level density of states = 0.694 states/eV/atom
1.0
4.538 0.000 0.000
0.000 4.538 0.000
0.000 0.000 2.943
Tc B W C
2 1 1 1
direct
0.000 0.500 0.000 Tc
0.500 0.000 0.000 Tc
0.000 0.000 0.000 B
0.500 0.500 0.500 W
0.000 0.000 0.500 C

YTcB2C (PBE, optimized geometry); space-group type = P4/mmm; total DFT energy (no corrections) = -0.2338 Ha/atom; spin magnetization = 0.18 μB per formula unit; E_form = 1.520 eV/atom; Fermi-level density of states = 0.775 states/eV/atom
1.0
3.943 0.000 0.000
0.000 3.943 0.000
0.000 0.000 5.573
Y Tc B C
1 1 2 1
direct
0.000 0.000 0.000 Y
0.000 0.000 0.500 Tc
0.000 0.500 0.500 B
0.500 0.000 0.500 B
0.500 0.500 0.000 C

Y2Tc2B2C (PBE, optimized geometry); space-group type = C2/m; total DFT energy (no corrections) = -0.3106 Ha/atom; spin magnetization = 0.00 μB per formula unit; E_form = -0.417 eV/atom; Fermi-level density of states = 0.458 states/eV/atom
1.0
5.468 -1.790 0.000
5.468 1.790 0.000
-3.951 0.000 5.411
Y Tc B C
2 2 2 1
direct
0.071 0.071 0.325 Y
0.929 0.929 0.675 Y
0.295 0.295 0.904 Tc
0.705 0.705 0.096 Tc
0.334 0.334 0.274 B
0.666 0.666 0.726 B
0.500 0.500 0.000 C